Version one
SnSCl2O: optimized geometry, PBE-GGA.

Output
* magnetization: 0.00 μB/f.u.

```
data_SnSCl2O
_symmetry_space_group_name_H-M 'P 4/m m m'
_symmetry_Int_Tables_number 123
_symmetry_space_group_name_Hall '-P 4 2'
_cell_length_a 4.634
_cell_length_b 4.634
_cell_length_c 4.367
_cell_angle_alpha 90.00
_cell_angle_beta 90.00
_cell_angle_gamma 90.00
loop_
_atom_site_label
_atom_site_type_symbol
_atom_site_fract_x
_atom_site_fract_y
_atom_site_fract_z
Sn1 Sn 0.000 0.000 0.000
S1 S 0.500 0.500 0.000
Cl1 Cl 0.000 0.500 0.500
O1 O 0.500 0.500 0.500
```

Version two
SnSCl2O: optimized geometry, PBE-GGA.

Output
* magnetization: 2.52 μB/f.u.

```
data_SnSCl2O
_symmetry_space_group_name_H-M 'P 4/m m m'
_symmetry_Int_Tables_number 123
_symmetry_space_group_name_Hall '-P 4 2'
_cell_length_a 5.181
_cell_length_b 5.181
_cell_length_c 4.995
_cell_angle_alpha 90.00
_cell_angle_beta 90.00
_cell_angle_gamma 90.00
loop_
_atom_site_label
_atom_site_type_symbol
_atom_site_fract_x
_atom_site_fract_y
_atom_site_fract_z
Sn1 Sn 0.000 0.000 0.000
S1 S 0.000 0.000 0.500
Cl1 Cl 0.000 0.500 0.000
O1 O 0.500 0.500 0.500
```

Best to worst by energy: version one, version two.